# 1
PmOsO4F: optimized geometry, GGA-PBE.

CIF file:
```
data_PmOsO4F
_chemical_formula_sum 'Pm2 Os2 O8 F2'
_symmetry_space_group_name_H-M 'P 1 21/m 1'
_symmetry_Int_Tables_number 11
_symmetry_space_group_name_Hall '-P 2yb'
_cell_length_a 4.6376
_cell_length_b 7.0599
_cell_length_c 6.8950
_cell_angle_alpha 90.00
_cell_angle_beta 107.61
_cell_angle_gamma 90.00
loop_
_atom_site_label
_atom_site_type_symbol
_atom_site_fract_x
_atom_site_fract_y
_atom_site_fract_z
_atom_site_occupancy
Pm1 Pm 0.0983 0.2500 0.4037 1
Os1 Os 0.1101 0.7500 0.1992 1
O1 O 0.0856 0.0505 0.7204 1
O2 O 0.3751 0.7500 0.0745 1
O3 O 0.3820 0.7500 0.4768 1
F1 F 0.2019 0.2500 0.0984 1
```

Computed properties:
The calculation puts the calculated density at 6.46 g/cm³. The calculation puts the uncorrected formation energy at -1.9375 eV/atom. The crystal system is monoclinic. For the uncorrected energy, the calculation gives -102.49 eV/cell.


# 2
RbNaLaTc2: optimized geometry, GGA-PBE.

CIF file:
```
data_RbNaLaTc2
_chemical_formula_sum 'Rb1 Na1 La1 Tc2'
_symmetry_space_group_name_H-M 'P 4/m m m'
_symmetry_Int_Tables_number 123
_symmetry_space_group_name_Hall '-P 4 2'
_cell_length_a 5.2268
_cell_length_b 5.2268
_cell_length_c 5.0833
_cell_angle_alpha 90.00
_cell_angle_beta 90.00
_cell_angle_gamma 90.00
loop_
_atom_site_label
_atom_site_type_symbol
_atom_site_fract_x
_atom_site_fract_y
_atom_site_fract_z
_atom_site_occupancy
Rb1 Rb 0.0000 0.0000 0.0000 1
Na1 Na 0.0000 0.0000 0.5000 1
La1 La 0.5000 0.5000 0.0000 1
Tc1 Tc 0.0000 0.5000 0.5000 1
```

Computed properties:
The calculation puts the calculated density at 5.30 g/cm³. As for the formation energy: 1.790 eV/atom. The crystal system is tetragonal. For the uncorrected energy, the calculation gives -19.00 eV/cell.


# 3
PrDyO2: optimized geometry, GGA-PBE.

CIF file:
```
data_PrDyO2
_chemical_formula_sum 'Pr3 Dy3 O6'
_symmetry_space_group_name_H-M 'R 3 m'
_symmetry_Int_Tables_number 160
_symmetry_space_group_name_Hall 'R 3 -2"'
_cell_length_a 3.4702
_cell_length_b 3.4702
_cell_length_c 18.2855
_cell_angle_alpha 90.00
_cell_angle_beta 90.00
_cell_angle_gamma 120.00
loop_
_atom_site_label
_atom_site_type_symbol
_atom_site_fract_x
_atom_site_fract_y
_atom_site_fract_z
_atom_site_occupancy
Pr1 Pr 0.0000 0.0000 0.0000 1
Dy1 Dy 0.0000 0.0000 0.8230 1
O1 O 0.0000 0.0000 0.2293 1
O2 O 0.0000 0.0000 0.4265 1
```

Computed properties:
The calculation puts the calculated density at 8.76 g/cm³. The calculation puts the uncorrected formation energy at -2.6932 eV/atom. As for the energy above the most stable polymorph in this dataset: 141.0 meV/atom. The crystal system is trigonal. For the uncorrected energy, the calculation gives -90.21 eV/cell.


# 4
Mg2BeP2Rh: optimized geometry, GGA-PBE.

CIF file:
```
data_Mg2BeP2Rh
_chemical_formula_sum 'Mg8 Be4 P8 Rh4'
_symmetry_space_group_name_H-M 'I b a m'
_symmetry_Int_Tables_number 72
_symmetry_space_group_name_Hall '-I 2 2c'
_cell_length_a 5.2486
_cell_length_b 12.0898
_cell_length_c 5.6123
_cell_angle_alpha 90.00
_cell_angle_beta 90.00
_cell_angle_gamma 90.00
loop_
_atom_site_label
_atom_site_type_symbol
_atom_site_fract_x
_atom_site_fract_y
_atom_site_fract_z
_atom_site_occupancy
Mg1 Mg 0.2267 0.1683 0.0000 1
Be1 Be 0.0000 0.5000 0.2500 1
P1 P 0.2129 0.3835 0.0000 1
Rh1 Rh 0.0000 0.0000 0.2500 1
```

Computed properties:
The calculation puts the calculated density at 4.15 g/cm³. As for the formation energy: -0.543 eV/atom. The crystal system is orthorhombic. For the uncorrected energy, the calculation gives -113.38 eV/cell.